1.
The following is a DFT calculation (PBE) of a relaxed TcB2Pb crystal.

POSCAR file:
```
TcB2Pb
1.0
0.000 3.080 3.080
3.080 0.000 3.080
3.080 3.080 0.000
Tc B Pb
1 2 1
direct
0.000 0.000 0.000
0.500 0.500 0.500
0.750 0.750 0.750
0.250 0.250 0.250
```

density	9.29	g/cm3
total energy	-4.8514	eV/atom

=====

2.
The following is a DFT calculation (PBE) of a relaxed LiAlSiAu crystal.

POSCAR file:
```
LiAlSiAu
1.0
0.000 3.168 3.168
3.168 0.000 3.168
3.168 3.168 0.000
Li Al Si Au
1 1 1 1
direct
0.000 0.000 0.000
0.750 0.750 0.750
0.250 0.250 0.250
0.500 0.500 0.500
```

density	6.76	g/cm3
energy above the lowest structure with this stoichiometry	106	meV/atom
total energy	-3.6681	eV/atom

=====

3.
The following is a DFT calculation (PBE) of a relaxed LiPrLu crystal.

POSCAR file:
```
LiPrLu
1.0
0.000 3.588 3.588
3.588 0.000 3.588
3.588 3.588 0.000
Li Pr Lu
1 1 1
direct
0.000 0.000 0.000
0.250 0.250 0.250
0.500 0.500 0.500
```

density	5.80	g/cm3
total energy	-2.9116	eV/atom

=====

4.
The following is a DFT calculation (PBE) of a relaxed Ho2ErMg3Pt3 crystal.

POSCAR file:
```
Ho2ErMg3Pt3
1.0
4.069 0.000 0.000
0.000 6.334 3.659
0.000 -6.334 3.659
Ho Er Mg Pt
2 1 3 3
direct
0.000 0.205 0.795
0.000 0.795 0.205
0.000 0.386 0.386
0.500 0.041 0.041
0.500 0.549 0.795
0.500 0.795 0.549
0.000 0.795 0.795
0.500 0.129 0.462
0.500 0.462 0.129
```

density	10.17	g/cm3
total energy	-5.0318	eV/atom

=====

5.
The following is a DFT calculation (PBE) of a relaxed RbZn crystal.

POSCAR file:
```
RbZn
1.0
8.672 0.000 0.000
0.000 5.297 0.000
-0.008 0.000 20.053
Rb Zn
12 12
direct
0.000 0.250 0.178
0.000 0.250 0.678
0.000 0.750 0.322
0.000 0.750 0.822
0.187 0.250 0.463
0.187 0.750 0.037
0.493 0.250 0.616
0.493 0.750 0.884
0.507 0.250 0.116
0.507 0.750 0.384
0.813 0.250 0.963
0.813 0.750 0.537
0.225 0.250 0.905
0.225 0.750 0.595
0.333 0.250 0.782
0.333 0.750 0.718
0.359 0.250 0.274
0.359 0.750 0.226
0.641 0.250 0.774
0.641 0.750 0.726
0.667 0.250 0.282
0.667 0.750 0.218
0.775 0.250 0.405
0.775 0.750 0.095
```

density	3.26	g/cm3
total energy	-0.9771	eV/atom

=====

6.
The following is a DFT calculation (PBE) of a relaxed Fe2Se3S crystal.

POSCAR file:
```
Fe2Se3S
1.0
2.809 -1.622 0.000
2.809 1.622 0.000
0.000 0.000 22.428
Fe Se S
2 3 1
direct
0.000 0.000 0.000
0.500 0.500 0.496
0.333 0.333 0.932
0.833 0.833 0.428
0.833 0.833 0.564
0.333 0.333 0.057
```

density	3.09	g/cm3
energy above the lowest structure with this stoichiometry	156	meV/atom
total energy	-5.4176	eV/atom